a) This record from Alexandria describes crystalline Cs2TlAg at its relaxed geometry. The functional is PBE.

Values from the calculation:
D(E_F) (states/eV per cell): 3.83
Magnetic moment (μB/f.u.): 0.00

```
4
Lattice="4.5542 0.0000 0.0000 2.2771 3.9441 0.0000 2.2771 1.3147 12.7661" Properties=species:S:1:pos:R:3 pbc="T T T"
Cs 2.2771 1.3147 8.9030
Cs 6.8313 3.9441 3.8632
Tl 0.0000 0.0000 0.0000
Ag 4.5542 2.6294 6.3831
```

***

b) This record from Alexandria describes crystalline Cs2TlAg at its relaxed geometry. The functional is PBE.

Values from the calculation:
D(E_F) (states/eV per cell): 4.35
Magnetic moment (μB/f.u.): 1.40

```
4
Lattice="0.0000 4.6061 4.6061 4.6061 0.0000 4.6061 4.6061 4.6061 0.0000" Properties=species:S:1:pos:R:3 pbc="T T T"
Cs 2.3031 2.3031 2.3031
Cs 6.9092 6.9092 6.9092
Tl 4.6061 4.6061 4.6061
Ag 0.0000 0.0000 0.0000
```

***

c) This record from Alexandria describes crystalline Cs2TlAg at its relaxed geometry. The functional is PBE.

Values from the calculation:
D(E_F) (states/eV per cell): 1.93
Magnetic moment (μB/f.u.): 0.00

```
4
Lattice="-2.5214 3.3020 -1.8956 -3.7839 -2.4252 0.8085 -0.8442 4.0344 8.1505" Properties=species:S:1:pos:R:3 pbc="T T T"
Cs -0.6474 3.0938 6.2503
Cs -0.1968 0.9406 1.9002
Tl -3.5747 2.4555 3.5317
Ag -3.1526 0.4384 -0.5435
```

***

d) This record from Alexandria describes crystalline Cs2TlAg at its relaxed geometry. The functional is PBE.

Values from the calculation:
D(E_F) (states/eV per cell): 3.55
Magnetic moment (μB/f.u.): 0.00

```
4
Lattice="-3.3549 0.1570 3.6282 3.2642 -0.7119 6.4270 0.8729 6.0252 3.9248" Properties=species:S:1:pos:R:3 pbc="T T T"
Cs 2.6321 -0.5051 5.8338
Cs 0.6573 3.5593 7.2004
Tl 0.0150 1.8762 3.3061
Ag 1.1331 2.5630 11.0569
```

***

Least stable of them? a).

***

a) This record from Alexandria describes crystalline CsTlAg2 at its relaxed geometry. The functional is PBE.

Values from the calculation:
D(E_F) (states/eV per cell): 7.47
Magnetic moment (μB/f.u.): 0.00

```
16
Lattice="7.5923 0.0000 0.0000 0.0000 8.7852 0.0000 0.0000 0.0000 7.9207" Properties=species:S:1:pos:R:3 pbc="T T T"
Cs 5.6942 0.0503 2.8150
Cs 5.6942 4.4429 1.1453
Cs 1.8981 8.7349 5.1056
Cs 1.8981 4.3423 6.7754
Tl 5.6942 7.3453 6.6196
Tl 5.6942 2.9527 5.2614
Tl 1.8981 1.4399 1.3011
Tl 1.8981 5.8325 2.6593
Ag 7.0979 5.6627 4.4710
Ag 4.2905 1.2701 7.4100
Ag 3.3017 3.1225 3.4497
Ag 0.4944 7.5151 0.5107
Ag 0.4944 3.1225 3.4497
Ag 3.3017 7.5151 0.5107
Ag 4.2905 5.6627 4.4710
Ag 7.0979 1.2701 7.4100
```

***

b) This record from Alexandria describes crystalline CsTlAg2 at its relaxed geometry. The functional is PBE.

Values from the calculation:
D(E_F) (states/eV per cell): 2.23
Magnetic moment (μB/f.u.): 0.00

```
4
Lattice="5.0067 0.0000 0.0000 2.5034 4.3360 0.0000 2.5034 1.4453 6.6790" Properties=species:S:1:pos:R:3 pbc="T T T"
Cs 5.0067 2.8906 3.3395
Tl 0.0000 0.0000 0.0000
Ag 2.5034 1.4453 0.2784
Ag 7.5101 4.3360 6.4006
```

***

c) This record from Alexandria describes crystalline CsTlAg2 at its relaxed geometry. The functional is PBE.

Values from the calculation:
D(E_F) (states/eV per cell): 1.17
Magnetic moment (μB/f.u.): 0.00

```
4
Lattice="0.0151 -1.2250 5.5853 -3.3252 2.9633 3.5859 -4.5566 -2.4917 2.3928" Properties=species:S:1:pos:R:3 pbc="T T T"
Cs 0.0000 0.0000 0.0000
Tl -3.9333 -0.3767 5.7820
Ag -1.9667 -0.1884 2.8910
Ag -5.9000 -0.5651 8.6730
```

***

d) This record from Alexandria describes crystalline CsTlAg2 at its relaxed geometry. The functional is PBE.

Values from the calculation:
D(E_F) (states/eV per cell): 4.71
Magnetic moment (μB/f.u.): 0.00

```
8
Lattice="5.6817 0.0000 0.0000 0.0000 5.6817 0.0000 2.8409 2.8409 9.9007" Properties=species:S:1:pos:R:3 pbc="T T T"
Cs 2.8409 2.8409 0.0000
Cs 2.8409 5.6817 4.9503
Tl 0.0000 0.0000 0.0000
Tl 5.6817 2.8409 4.9503
Ag 5.6826 1.4204 2.4752
Ag 5.6809 4.2613 2.4752
Ag 4.2613 2.8400 7.4255
Ag 7.1022 2.8417 7.4255
```

***

Least stable of them? c).

***

a) This record from Alexandria describes crystalline CsVAg3 at its relaxed geometry. The functional is PBE.

Values from the calculation:
D(E_F) (states/eV per cell): 7.89
Magnetic moment (μB/f.u.): 3.31

```
5
Lattice="5.3820 0.0000 0.0000 0.0000 5.3820 0.0000 0.0000 0.0000 5.3820" Properties=species:S:1:pos:R:3 pbc="T T T"
Cs 2.6910 2.6910 2.6910
Ag 0.0000 2.6910 0.0000
Ag 0.0000 0.0000 2.6910
Ag 2.6910 0.0000 0.0000
V 0.0000 0.0000 0.0000
```

***

b) This record from Alexandria describes crystalline CsVAg3 at its relaxed geometry. The functional is PBE.

Values from the calculation:
D(E_F) (states/eV per cell): 8.37
Magnetic moment (μB/f.u.): 3.26

```
5
Lattice="-4.7718 1.9941 2.9235 -3.5317 -2.9942 -3.7222 0.2241 -4.7277 3.5905" Properties=species:S:1:pos:R:3 pbc="T T T"
Cs 0.0000 0.0000 0.0000
Ag -1.7658 -1.4971 -1.8611
Ag 0.1120 -2.3639 1.7952
Ag -2.3859 0.9970 1.4617
V -4.0397 -2.8639 1.3959
```

***

Least stable of them? b).

***

a) This record from Alexandria describes crystalline CsAgW2 at its relaxed geometry. The functional is PBE.

Values from the calculation:
D(E_F) (states/eV per cell): 8.81
Magnetic moment (μB/f.u.): 0.00

```
8
Lattice="4.2050 0.0000 0.0000 0.0000 4.2050 0.0000 2.1025 2.1025 10.9912" Properties=species:S:1:pos:R:3 pbc="T T T"
Cs 0.0000 0.0000 0.0000
Cs 4.2050 2.1025 5.4956
Ag 2.1025 2.1025 0.0000
Ag 2.1025 4.2050 5.4956
W 1.4045 1.0512 2.7478
W 2.8005 3.1537 2.7478
W 3.1537 4.9030 8.2434
W 5.2562 3.5070 8.2434
```

***

b) This record from Alexandria describes crystalline CsAgW2 at its relaxed geometry. The functional is PBE.

Values from the calculation:
D(E_F) (states/eV per cell): 4.78
Magnetic moment (μB/f.u.): 0.00

```
4
Lattice="0.0000 3.3707 3.3707 3.3707 0.0000 3.3707 3.3707 3.3707 0.0000" Properties=species:S:1:pos:R:3 pbc="T T T"
Cs 3.3707 3.3707 3.3707
Ag 0.0000 0.0000 0.0000
W 1.6854 1.6854 1.6854
W 5.0561 5.0561 5.0561
```

***

Least stable of them? b).